1.
Below is a relaxed structure of Hg5O2F5, with properties calculated at the GGA-PBE level.

Computed properties:
E_form (uncorrected) = -0.996 eV per atom
DFT total energy = -2.7279 eV per atom
density of states at the Fermi level = 0.133 states/eV per atom
total moment = 0.0000 μB per atom
theoretical density = 9.64 Mg/m³
space-group type = C2/m

Lattice parameters (Å, degrees): 3.539 6.191 9.717 106.64 90.00 106.61
Atoms (fractional coordinates):
Hg: 0.104 0.208 0.394
Hg: 0.676 0.352 0.806
Hg: 0.324 0.648 0.194
Hg: 0.896 0.792 0.606
Hg: 0.000 0.000 0.000
O: 0.043 0.085 0.801
O: 0.957 0.915 0.199
F: 0.500 0.000 0.500
F: 0.683 0.365 0.084
F: 0.769 0.538 0.386
F: 0.231 0.462 0.614
F: 0.317 0.635 0.916

2.
Below is a relaxed structure of LiHoGe, with properties calculated at the GGA-PBE level.

Computed properties:
DFT total energy = -4.0010 eV per atom
density of states at the Fermi level = 0.447 states/eV per atom
total moment = 0.0000 μB per atom
theoretical density = 6.56 Mg/m³
space-group type = I4mm

Lattice parameters (Å, degrees): 3.361 3.361 5.968 106.36 106.36 90.00
Atoms (fractional coordinates):
Ge: 0.930 0.930 0.859
Ho: 0.605 0.605 0.211
Li: 0.315 0.315 0.630

3.
Below is a relaxed structure of HfTiBi2, with properties calculated at the GGA-PBE level.

Computed properties:
DFT total energy = -6.3288 eV per atom
density of states at the Fermi level = 0.975 states/eV per atom
total moment = 0.2327 μB per atom
theoretical density = 10.47 Mg/m³
space-group type = R-3m
ΔE to the lowest computed polymorph = 0.22 eV per formula unit

Lattice parameters (Å, degrees): 4.156 4.156 7.241 73.32 73.32 60.00
Atoms (fractional coordinates):
Hf: 0.500 0.500 0.500
Bi: 0.253 0.253 0.240
Bi: 0.747 0.747 0.760
Ti: 0.000 0.000 0.000

4.
Below is a relaxed structure of HoMgH, with properties calculated at the GGA-PBE level.

Computed properties:
DFT total energy = -3.3559 eV per atom
density of states at the Fermi level = 0.303 states/eV per atom
total moment = 0.0000 μB per atom
theoretical density = 5.40 Mg/m³
space-group type = Pmn2_1
ΔE to the lowest computed polymorph = 0.00 eV per formula unit

Lattice parameters (Å, degrees): 3.460 5.804 5.830 90.00 90.00 90.00
Atoms (fractional coordinates):
H: 0.000 0.083 0.413
H: 0.500 0.917 0.913
Mg: 0.500 0.589 0.048
Mg: 0.000 0.411 0.548
Ho: 0.000 0.094 0.046
Ho: 0.500 0.906 0.546

5.
Below is a relaxed structure of ZrW3N, with properties calculated at the GGA-PBE level.

Computed properties:
E_form (uncorrected) = 3.781 eV per atom
DFT total energy = -7.3660 eV per atom
density of states at the Fermi level = 0.732 states/eV per atom
total moment = 0.0000 μB per atom
theoretical density = 9.80 Mg/m³
space-group type = Pm-3m
ΔE to the lowest computed polymorph = 18.97 eV per formula unit

Lattice parameters (Å, degrees): 4.810 4.810 4.810 90.00 90.00 90.00
Atoms (fractional coordinates):
Zr: 0.000 0.000 0.000
W: 0.000 0.500 0.000
W: 0.000 0.000 0.500
W: 0.500 0.000 0.000
N: 0.500 0.500 0.500

6.
Below is a relaxed structure of HgP2IO8, with properties calculated at the GGA-PBE level.

Computed properties:
E_form (uncorrected) = -1.226 eV per atom
DFT total energy = -5.5871 eV per atom
density of states at the Fermi level = 0.371 states/eV per atom
total moment = 0.0146 μB per atom
theoretical density = 5.15 Mg/m³
space-group type = C2/m

Lattice parameters (Å, degrees): 5.481 6.391 6.480 57.16 64.98 64.61
Atoms (fractional coordinates):
Hg: 0.500 0.500 0.500
P: 0.301 0.244 0.154
P: 0.699 0.756 0.846
I: 0.000 0.000 0.000
O: 0.852 0.620 0.677
O: 0.657 0.558 0.128
O: 0.148 0.380 0.323
O: 0.343 0.442 0.872
O: 0.590 0.053 0.222
O: 0.410 0.947 0.778
O: 0.136 0.053 0.222
O: 0.864 0.947 0.778

7.
Below is a relaxed structure of Si2As, with properties calculated at the GGA-PBE level.

Computed properties:
E_form (uncorrected) = 0.582 eV per atom
DFT total energy = -4.5834 eV per atom
density of states at the Fermi level = 0.479 states/eV per atom
total moment = 0.0000 μB per atom
theoretical density = 4.01 Mg/m³
space-group type = P-62m
ΔE to the lowest computed polymorph = 1.27 eV per formula unit

Lattice parameters (Å, degrees): 7.374 7.374 3.460 90.00 90.00 120.00
Atoms (fractional coordinates):
Si: 0.272 0.000 0.000
Si: 0.000 0.272 0.000
Si: 0.728 0.728 0.000
Si: 0.535 0.000 0.500
Si: 0.000 0.535 0.500
Si: 0.465 0.465 0.500
As: 0.333 0.667 0.000
As: 0.667 0.333 0.000
As: 0.000 0.000 0.500

8.
Below is a relaxed structure of La2AlSe, with properties calculated at the GGA-PBE level.

Computed properties:
E_form (uncorrected) = -1.039 eV per atom
DFT total energy = -5.3097 eV per atom
density of states at the Fermi level = 1.028 states/eV per atom
total moment = 0.0001 μB per atom
theoretical density = 5.26 Mg/m³
space-group type = P4/mmm
ΔE to the lowest computed polymorph = 0.52 eV per formula unit

Lattice parameters (Å, degrees): 4.401 4.401 6.248 90.00 90.00 90.00
Atoms (fractional coordinates):
Al: 0.500 0.500 0.875
Se: 0.000 0.000 0.375
La: 0.000 0.000 0.875
La: 0.500 0.500 0.375

9.
Below is a relaxed structure of K3CO4, with properties calculated at the GGA-PBE level.

Computed properties:
E_form (uncorrected) = -1.254 eV per atom
DFT total energy = -5.2976 eV per atom
density of states at the Fermi level = 1.259 states/eV per atom
total moment = 0.1262 μB per atom
theoretical density = 2.38 Mg/m³
space-group type = I-43m
ΔE to the lowest computed polymorph = 1.00 eV per formula unit

Lattice parameters (Å, degrees): 5.596 5.596 5.596 109.47 109.47 109.47
Atoms (fractional coordinates):
K: 0.500 0.500 0.000
K: 0.000 0.500 0.500
K: 0.500 0.000 0.500
C: 0.000 0.000 0.000
O: 0.748 0.000 0.000
O: 0.000 0.000 0.748
O: 0.252 0.252 0.252
O: 0.000 0.748 0.000

10.
Below is a relaxed structure of In6Ga3Hg14, with properties calculated at the GGA-PBE level.

Computed properties:
DFT total energy = -1.2602 eV per atom
density of states at the Fermi level = 0.316 states/eV per atom
total moment = 0.0000 μB per atom
theoretical density = 10.14 Mg/m³
space-group type = P3m1

Lattice parameters (Å, degrees): 6.484 10.398 10.398 120.00 90.00 90.00
Atoms (fractional coordinates):
In: 0.240 0.858 0.142
In: 0.240 0.858 0.716
In: 0.240 0.284 0.142
In: 0.723 0.474 0.526
In: 0.723 0.474 0.949
In: 0.723 0.051 0.526
Ga: 0.968 0.000 0.000
Ga: 0.450 0.333 0.667
Ga: 0.471 0.667 0.333
Hg: 0.946 0.159 0.317
Hg: 0.946 0.683 0.841
Hg: 0.946 0.159 0.841
Hg: 0.446 0.174 0.348
Hg: 0.446 0.652 0.826
Hg: 0.446 0.174 0.826
Hg: 0.544 0.000 0.000
Hg: 0.027 0.333 0.667
Hg: 0.749 0.800 0.200
Hg: 0.749 0.800 0.600
Hg: 0.749 0.400 0.200
Hg: 0.190 0.534 0.467
Hg: 0.190 0.533 0.067
Hg: 0.190 0.933 0.466

11.
Below is a relaxed structure of SrEr2ReN4, with properties calculated at the GGA-PBE level.

Computed properties:
E_form (uncorrected) = -1.003 eV per atom
DFT total energy = -8.0727 eV per atom
density of states at the Fermi level = 0.299 states/eV per atom
total moment = 0.0000 μB per atom
theoretical density = 8.85 Mg/m³
space-group type = Cmcm

Lattice parameters (Å, degrees): 3.427 6.251 12.102 90.00 90.00 105.91
Atoms (fractional coordinates):
Sr: 0.066 0.132 0.750
Sr: 0.934 0.868 0.250
Er: 0.372 0.743 0.541
Er: 0.628 0.257 0.041
Er: 0.628 0.257 0.459
Er: 0.372 0.743 0.959
Re: 0.807 0.614 0.750
Re: 0.193 0.386 0.250
N: 0.259 0.517 0.109
N: 0.741 0.483 0.609
N: 0.741 0.483 0.891
N: 0.259 0.517 0.391
N: 0.000 0.000 0.500
N: 0.000 0.000 0.000
N: 0.398 0.797 0.750
N: 0.602 0.203 0.250

12.
Below is a relaxed structure of PmHfBi2, with properties calculated at the GGA-PBE level.

Computed properties:
DFT total energy = -5.5175 eV per atom
density of states at the Fermi level = 1.128 states/eV per atom
total moment = 0.0005 μB per atom
theoretical density = 10.43 Mg/m³
space-group type = R-3m
ΔE to the lowest computed polymorph = 1.59 eV per formula unit

Lattice parameters (Å, degrees): 3.428 3.428 11.770 81.63 81.63 60.00
Atoms (fractional coordinates):
Hf: 0.000 0.000 0.000
Bi: 0.087 0.087 0.740
Bi: 0.913 0.913 0.260
Pm: 0.500 0.500 0.500